1.
This record from Alexandria via LeMat-Bulk describes a relaxed structure of Ac12Ni5Ge3. The functional is PBE.

Mass density (g cm⁻³): 7.6
Spin magnetization (μB per atom): 0.000
DFT total energy (eV/atom): -4.746
ΔE_f (kJ/mol of atoms): -14

Cell: 15.4478 15.4478 15.4478 Å, 109.47 109.47 109.47°
Element x y z (fractional)
Ac (0.0357, 0.2113, 0.1265)
Ac (0.0357, 0.3244, 0.9093)
Ac (0.0849, 0.7113, 0.6756)
Ac (0.0849, 0.8735, 0.4093)
Ac (0.0907, 0.6265, 0.4151)
Ac (0.0907, 0.9643, 0.6756)
Ac (0.1265, 0.0357, 0.2113)
Ac (0.1265, 0.5907, 0.9151)
Ac (0.1756, 0.2113, 0.5849)
Ac (0.1756, 0.4643, 0.5907)
Ac (0.2113, 0.1265, 0.0357)
Ac (0.2113, 0.5849, 0.1756)
Ac (0.2887, 0.3244, 0.9151)
Ac (0.2887, 0.4643, 0.3735)
Ac (0.3244, 0.9093, 0.0357)
Ac (0.3244, 0.9151, 0.2887)
Ac (0.3735, 0.2887, 0.4643)
Ac (0.3735, 0.5849, 0.9093)
Ac (0.4093, 0.0849, 0.8735)
Ac (0.4093, 0.8244, 0.5357)
Ac (0.4151, 0.0907, 0.6265)
Ac (0.4151, 0.8244, 0.7887)
Ac (0.4643, 0.3735, 0.2887)
Ac (0.4643, 0.5907, 0.1756)
Ac (0.5357, 0.4093, 0.8244)
Ac (0.5357, 0.6265, 0.7113)
Ac (0.5849, 0.1756, 0.2113)
Ac (0.5849, 0.9093, 0.3735)
Ac (0.5907, 0.1756, 0.4643)
Ac (0.5907, 0.9151, 0.1265)
Ac (0.6265, 0.4151, 0.0907)
Ac (0.6265, 0.7113, 0.5357)
Ac (0.6756, 0.0849, 0.7113)
Ac (0.6756, 0.0907, 0.9643)
Ac (0.7113, 0.5357, 0.6265)
Ac (0.7113, 0.6756, 0.0849)
Ac (0.7887, 0.4151, 0.8244)
Ac (0.7887, 0.8735, 0.9643)
Ac (0.8244, 0.5357, 0.4093)
Ac (0.8244, 0.7887, 0.4151)
Ac (0.8735, 0.4093, 0.0849)
Ac (0.8735, 0.9643, 0.7887)
Ac (0.9093, 0.0357, 0.3244)
Ac (0.9093, 0.3735, 0.5849)
Ac (0.9151, 0.1265, 0.5907)
Ac (0.9151, 0.2887, 0.3244)
Ac (0.9643, 0.6756, 0.0907)
Ac (0.9643, 0.7887, 0.8735)
Ni (0.0000, 0.0000, 0.0000)
Ni (0.0000, 0.0000, 0.5000)
Ni (0.0000, 0.5000, 0.0000)
Ni (0.0000, 0.5000, 0.5000)
Ni (0.1250, 0.7500, 0.8750)
Ni (0.1250, 0.8750, 0.2500)
Ni (0.2500, 0.1250, 0.8750)
Ni (0.2500, 0.6250, 0.3750)
Ni (0.3750, 0.2500, 0.6250)
Ni (0.3750, 0.6250, 0.7500)
Ni (0.5000, 0.0000, 0.0000)
Ni (0.5000, 0.0000, 0.5000)
Ni (0.5000, 0.5000, 0.0000)
Ni (0.5000, 0.5000, 0.5000)
Ni (0.6250, 0.3750, 0.2500)
Ni (0.6250, 0.7500, 0.3750)
Ni (0.7500, 0.3750, 0.6250)
Ni (0.7500, 0.8750, 0.1250)
Ni (0.8750, 0.1250, 0.7500)
Ni (0.8750, 0.2500, 0.1250)
Ge (0.1250, 0.2500, 0.3750)
Ge (0.1250, 0.3750, 0.7500)
Ge (0.2500, 0.3750, 0.1250)
Ge (0.2500, 0.8750, 0.6250)
Ge (0.3750, 0.1250, 0.2500)
Ge (0.3750, 0.7500, 0.1250)
Ge (0.6250, 0.2500, 0.8750)
Ge (0.6250, 0.8750, 0.7500)
Ge (0.7500, 0.1250, 0.3750)
Ge (0.7500, 0.6250, 0.8750)
Ge (0.8750, 0.6250, 0.2500)
Ge (0.8750, 0.7500, 0.6250)

2.
This record from Alexandria via LeMat-Bulk describes a relaxed structure of Cs6BaH8. The functional is PBE.

Mass density (g cm⁻³): 3.4
Spin magnetization (μB per atom): 0.000
DFT total energy (eV/atom): -2.390

Cell: 10.4130 10.4130 4.8821 Å, 90.00 90.00 120.00°
Element x y z (fractional)
Cs (0.1031, 0.4174, 0.2325)
Cs (0.3143, 0.8969, 0.2325)
Cs (0.4174, 0.3143, 0.7675)
Cs (0.5826, 0.6857, 0.2325)
Cs (0.6857, 0.1031, 0.7675)
Cs (0.8969, 0.5826, 0.7675)
Ba (0.0000, 0.0000, 0.5000)
H (0.0054, 0.2371, 0.7319)
H (0.2317, 0.9946, 0.7319)
H (0.2371, 0.2317, 0.2681)
H (0.3333, 0.6667, 0.7445)
H (0.6667, 0.3333, 0.2555)
H (0.7629, 0.7683, 0.7319)
H (0.7683, 0.0054, 0.2681)
H (0.9946, 0.7629, 0.2681)

3.
This record from Alexandria via LeMat-Bulk describes a relaxed structure of SbAsSe3. The functional is PBE.

Mass density (g cm⁻³): 4.7
Spin magnetization (μB per atom): 0.000
DFT total energy (eV/atom): -3.964

Cell: 7.3192 4.0950 10.9159 Å, 90.00 109.47 90.00°
Element x y z (fractional)
Sb (0.2282, 0.2500, 0.4954)
Sb (0.7718, 0.7500, 0.5046)
As (0.0024, 0.7500, 0.1429)
As (0.9976, 0.2500, 0.8571)
Se (0.1438, 0.7500, 0.6589)
Se (0.2029, 0.7500, 0.0020)
Se (0.3244, 0.7500, 0.3371)
Se (0.6756, 0.2500, 0.6629)
Se (0.7971, 0.2500, 0.9980)
Se (0.8562, 0.2500, 0.3411)

4.
This record from Alexandria via LeMat-Bulk describes a relaxed structure of CeScHg2. The functional is PBE.

Mass density (g cm⁻³): 9.6
Spin magnetization (μB per atom): 0.223
DFT total energy (eV/atom): -3.434
ΔE_f (kJ/mol of atoms): -21

Cell: 3.4582 3.4582 29.4346 Å, 90.00 90.00 120.00°
Element x y z (fractional)
Ce (0.0000, 0.0000, 0.0000)
Ce (0.3333, 0.6667, 0.6667)
Ce (0.6667, 0.3333, 0.3333)
Sc (0.0000, 0.0000, 0.5000)
Sc (0.3333, 0.6667, 0.1667)
Sc (0.6667, 0.3333, 0.8333)
Hg (0.0000, 0.0000, 0.2425)
Hg (0.0000, 0.0000, 0.7575)
Hg (0.3333, 0.6667, 0.4242)
Hg (0.3333, 0.6667, 0.9092)
Hg (0.6667, 0.3333, 0.0908)
Hg (0.6667, 0.3333, 0.5758)

5.
This record from Alexandria via LeMat-Bulk describes a relaxed structure of HgTe2Pt. The functional is PBE.

Mass density (g cm⁻³): 8.1
Spin magnetization (μB per atom): 0.000
DFT total energy (eV/atom): -3.429

Cell: 4.0195 4.0195 9.5526 Å, 90.00 90.00 120.00°
Element x y z (fractional)
Hg (0.0000, 0.0000, 0.0000)
Te (0.0000, 0.0000, 0.3871)
Te (0.3333, 0.6667, 0.6788)
Pt (0.6667, 0.3333, 0.5332)

6.
This record from Alexandria via LeMat-Bulk describes a relaxed structure of Li4PmTm. The functional is PBE.

Mass density (g cm⁻³): 4.0
Spin magnetization (μB per atom): 0.000
DFT total energy (eV/atom): -2.698
ΔE_f (kJ/mol of atoms): 11

Cell: 5.8551 5.8551 5.8551 Å, 60.00 60.00 60.00°
Element x y z (fractional)
Li (0.1254, 0.1254, 0.1254)
Li (0.1254, 0.1254, 0.6237)
Li (0.1254, 0.6237, 0.1254)
Li (0.6237, 0.1254, 0.1254)
Pm (0.7500, 0.7500, 0.7500)
Tm (0.5000, 0.5000, 0.5000)

7.
This record from Alexandria via LeMat-Bulk describes a relaxed structure of Ca2TiAu. The functional is PBE.

Mass density (g cm⁻³): 4.9
Spin magnetization (μB per atom): 0.675
DFT total energy (eV/atom): -3.588
ΔE_f (kJ/mol of atoms): 20

Cell: 8.4991 8.4991 6.1265 Å, 90.00 90.00 90.00°
Element x y z (fractional)
Ca (0.2046, 0.2500, 0.1250)
Ca (0.2500, 0.7046, 0.3750)
Ca (0.2500, 0.7954, 0.8750)
Ca (0.2954, 0.2500, 0.6250)
Ca (0.7046, 0.7500, 0.6250)
Ca (0.7500, 0.2046, 0.8750)
Ca (0.7500, 0.2954, 0.3750)
Ca (0.7954, 0.7500, 0.1250)
Ti (0.0000, 0.0000, 0.5000)
Ti (0.0000, 0.5000, 0.7500)
Ti (0.5000, 0.0000, 0.2500)
Ti (0.5000, 0.5000, 0.0000)
Au (0.0000, 0.0000, 0.0000)
Au (0.0000, 0.5000, 0.2500)
Au (0.5000, 0.0000, 0.7500)
Au (0.5000, 0.5000, 0.5000)

8.
This record from Alexandria via LeMat-Bulk describes a relaxed structure of Re4IrSe. The functional is PBE.

Mass density (g cm⁻³): 17.1
Spin magnetization (μB per atom): 0.000
DFT total energy (eV/atom): -9.461

Cell: 5.1909 5.1909 5.1909 Å, 60.00 60.00 60.00°
Element x y z (fractional)
Re (0.3759, 0.3759, 0.3759)
Re (0.3759, 0.3759, 0.8724)
Re (0.3759, 0.8724, 0.3759)
Re (0.8724, 0.3759, 0.3759)
Ir (0.7500, 0.7500, 0.7500)
Se (0.0000, 0.0000, 0.0000)

9.
This record from Alexandria via LeMat-Bulk describes a relaxed structure of Li2BrF. The functional is PBE.

Mass density (g cm⁻³): 2.8
Spin magnetization (μB per atom): 0.000
DFT total energy (eV/atom): -4.026

Cell: 5.2227 5.2227 9.8823 Å, 90.00 90.00 90.00°
Element x y z (fractional)
Li (0.1488, 0.2500, 0.1250)
Li (0.2500, 0.6488, 0.3750)
Li (0.2500, 0.8512, 0.8750)
Li (0.3512, 0.2500, 0.6250)
Li (0.6488, 0.7500, 0.6250)
Li (0.7500, 0.1488, 0.8750)
Li (0.7500, 0.3512, 0.3750)
Li (0.8512, 0.7500, 0.1250)
Br (0.0000, 0.0000, 0.5000)
Br (0.0000, 0.5000, 0.7500)
Br (0.5000, 0.0000, 0.2500)
Br (0.5000, 0.5000, 0.0000)
F (0.0000, 0.0000, 0.0000)
F (0.0000, 0.5000, 0.2500)
F (0.5000, 0.0000, 0.7500)
F (0.5000, 0.5000, 0.5000)

10.
This record from Alexandria via LeMat-Bulk describes a relaxed structure of VCrP2. The functional is PBE.

Mass density (g cm⁻³): 5.4
Spin magnetization (μB per atom): 0.000
DFT total energy (eV/atom): -8.073
ΔE_f (kJ/mol of atoms): -66

Cell: 3.1041 6.0726 5.4013 Å, 90.00 90.00 90.00°
Element x y z (fractional)
V (0.0000, 0.0584, 0.0000)
V (0.0000, 0.9416, 0.5000)
Cr (0.5000, 0.4382, 0.9853)
Cr (0.5000, 0.5618, 0.4853)
P (0.0000, 0.3230, 0.6818)
P (0.0000, 0.6770, 0.1818)
P (0.5000, 0.1944, 0.3109)
P (0.5000, 0.8056, 0.8109)

11.
This record from Alexandria via LeMat-Bulk describes a relaxed structure of Ba2ReHg. The functional is PBE.

Mass density (g cm⁻³): 8.6
Spin magnetization (μB per atom): 0.263
DFT total energy (eV/atom): -3.503
ΔE_f (kJ/mol of atoms): 62

Cell: 3.6857 3.8526 8.9796 Å, 90.00 90.18 90.00°
Element x y z (fractional)
Ba (0.9997, 0.0000, 0.2191)
Ba (0.0003, 0.0000, 0.7809)
Re (0.5000, 0.5000, 0.0000)
Hg (0.5000, 0.5000, 0.5000)

12.
This record from Alexandria via LeMat-Bulk describes a relaxed structure of RbAs2AuSe4. The functional is PBE.

Mass density (g cm⁻³): 5.0
Spin magnetization (μB per atom): 0.000
DFT total energy (eV/atom): -3.638

Cell: 6.1648 6.9112 11.7694 Å, 90.00 90.00 90.00°
Element x y z (fractional)
Rb (0.0000, 0.0000, 0.0000)
Rb (0.5000, 0.5000, 0.5000)
As (0.0000, 0.5000, 0.2735)
As (0.0000, 0.5000, 0.7265)
As (0.5000, 0.0000, 0.2265)
As (0.5000, 0.0000, 0.7735)
Au (0.0000, 0.0000, 0.5000)
Au (0.5000, 0.5000, 0.0000)
Se (0.2442, 0.1727, 0.6561)
Se (0.2442, 0.8273, 0.3439)
Se (0.2558, 0.3273, 0.1561)
Se (0.2558, 0.6727, 0.8439)
Se (0.7442, 0.3273, 0.8439)
Se (0.7442, 0.6727, 0.1561)
Se (0.7558, 0.1727, 0.3439)
Se (0.7558, 0.8273, 0.6561)